Here is a relaxed structure of Zr4TaAl from the Alexandria database. Energies are from PBE-GGA.

abc: 5.6771 5.6771 5.6771
angles: 60.00 60.00 60.00
Sites, in units of the cell vectors:
Al: 0.7500 0.7500 0.7500
Zr: 0.3730 0.3730 0.3730
Zr: 0.8809 0.3730 0.3730
Zr: 0.3730 0.8809 0.3730
Zr: 0.3730 0.3730 0.8809
Ta: 0.0000 0.0000 0.0000

Properties
The calculation puts the total magnetic moment at 0.0 μB per formula unit. The energy of formation from the pure elements comes out at 0.398 eV/atom. The value obtained for the mass density is 7.352 Mg/m³.



Here is a relaxed structure of Ac6Pt5Au from the Alexandria database. Energies are from PBE-GGA.

abc: 7.6538 7.6538 7.6515
angles: 99.61 99.61 119.86
Sites, in units of the cell vectors:
Ac: 0.0856 0.4298 0.2562
Ac: 0.2598 0.2598 0.7461
Ac: 0.9144 0.5702 0.7438
Ac: 0.4298 0.0856 0.2562
Ac: 0.5702 0.9144 0.7438
Ac: 0.7402 0.7402 0.2539
Pt: 0.6672 0.3328 0.0000
Pt: 0.1631 0.8369 0.5000
Pt: 0.8369 0.1631 0.5000
Pt: 0.3328 0.6672 0.0000
Pt: 0.5000 0.5000 0.5000
Au: 0.0000 0.0000 0.0000

Properties
The calculation puts the total magnetic moment at 0.0 μB per formula unit. The energy of formation from the pure elements comes out at -1.126 eV/atom. The value obtained for the mass density is 11.482 Mg/m³.



Here is a relaxed structure of LiYS2Cl from the Alexandria database. Energies are from PBE-GGA.

abc: 4.5505 4.5505 4.5352
angles: 90.00 90.00 90.00
Sites, in units of the cell vectors:
Cl: 0.0000 0.0000 0.5000
Li: 0.0000 0.0000 0.0000
S: 0.5000 0.0000 0.0000
S: 0.0000 0.5000 0.0000
Y: 0.5000 0.5000 0.5000

Properties
The calculation puts the total magnetic moment at 0.0 μB per formula unit. The value obtained for the mass density is 3.456 Mg/m³. The value obtained for the uncorrected formation energy is -1037 meV per atom.



Here is a relaxed structure of Pm3Hg2Pb from the Alexandria database. Energies are from PBE-GGA.

abc: 5.4338 5.4338 6.7075
angles: 90.00 90.00 120.00
Each line ends with the local moment (μB).
Sites, in units of the cell vectors:
Hg: 0.6667 0.3333 0.3553  0.01
Hg: 0.3333 0.6667 0.6447  0.01
Pm: 0.6667 0.3333 0.8331  0.15
Pm: 0.0000 0.0000 0.5000  0.13
Pm: 0.3333 0.6667 0.1669  0.15
Pb: 0.0000 0.0000 0.0000  -0.01

Properties
The calculation puts the total magnetic moment at 0.9 μB per formula unit. The energy of formation from the pure elements comes out at -0.491 eV/atom. The value obtained for the mass density is 10.102 Mg/m³.



Here is a relaxed structure of Rb2Na2V from the Alexandria database. Energies are from PBE-GGA.

abc: 8.6336 8.6336 6.3545
angles: 90.00 90.00 90.00
Each line ends with the local moment (μB).
Sites, in units of the cell vectors:
Rb: 0.3134 0.1866 0.5000  0.01
Rb: 0.6866 0.8134 0.5000  0.01
Rb: 0.1866 0.6866 0.5000  0.01
Rb: 0.8134 0.3134 0.5000  0.01
Na: 0.3572 0.8572 0.0000  0.01
Na: 0.6428 0.1428 0.0000  0.01
Na: 0.8572 0.6428 0.0000  0.01
Na: 0.1428 0.3572 0.0000  0.01
V: 0.5000 0.5000 0.0000  3.19
V: 0.0000 0.0000 0.0000  3.19

Properties
The calculation puts the total magnetic moment at 4.7 μB per formula unit. The energy of formation from the pure elements comes out at 0.708 eV/atom. The value obtained for the mass density is 1.878 Mg/m³.



Here is a relaxed structure of AlTcRh from the Alexandria database. Energies are from PBE-GGA.

abc: 4.2678 4.2678 2.7266
angles: 90.00 90.00 120.00
Sites, in units of the cell vectors:
Al: 0.0000 0.0000 0.1625
Tc: 0.3333 0.6667 0.6676
Rh: 0.6667 0.3333 0.1699

Properties
The calculation puts the total magnetic moment at 0.0 μB per formula unit. The energy of formation from the pure elements comes out at -0.291 eV/atom. The value obtained for the mass density is 8.798 Mg/m³.